DFT (GGA-PBE) results for a relaxed YScSe3 crystal.

Summary:
The calculation puts the calculated volume at 26.872 Å³/atom. Its final energy is -64.04 eV for the cell shown. The density of states at the Fermi level comes out at 0.00 states/eV/atom.

Lattice parameters (Å, degrees): 7.5171 7.5171 7.5171 55.46 55.46 55.46
Closest atoms and distances in Å follow each position.
Fractional positions:
1 Y 0.1506 0.1506 0.1506  6 Se 2.84-2.90
2 Y 0.8494 0.8494 0.8494  6 Se 2.84-2.90
3 Sc 0.3428 0.3428 0.3428  6 Se 2.71-2.76
4 Sc 0.6572 0.6572 0.6572  6 Se 2.71-2.76
5 Se 0.0635 0.4475 0.7313  2 Sc 2.71-2.76, 2 Y 2.84-2.90
6 Se 0.2687 0.9365 0.5525  2 Sc 2.71-2.76, 2 Y 2.84-2.90
7 Se 0.4475 0.7313 0.0635  2 Sc 2.71-2.76, 2 Y 2.84-2.90
8 Se 0.5525 0.2687 0.9365  2 Sc 2.71-2.76, 2 Y 2.84-2.90
9 Se 0.7313 0.0635 0.4475  2 Sc 2.71-2.76, 2 Y 2.84-2.90
10 Se 0.9365 0.5525 0.2687  2 Sc 2.71-2.76, 2 Y 2.84-2.90



DFT (GGA-PBE) results for a relaxed GaIrPd3 crystal.

Summary:
The calculation puts the calculated volume at 18.478 Å³/atom. Its final energy is -23.28 eV for the cell shown. The density of states at the Fermi level comes out at 1.14 states/eV/atom. Its energy above the lowest structure with this stoichiometry is 0 meV/atom.

Lattice parameters (Å, degrees): 4.5207 4.5207 4.5207 90.00 90.00 90.00
Closest atoms and distances in Å follow each position.
Fractional positions:
1 Ga 0.0000 0.0000 0.0000  6 Pd 2.26
2 Ir 0.5000 0.5000 0.5000  12 Pd 3.20
3 Pd 0.0000 0.0000 0.5000  2 Ga 2.26
4 Pd 0.0000 0.5000 0.0000  2 Ga 2.26
5 Pd 0.5000 0.0000 0.0000  2 Ga 2.26